The following is a PBE-GGA calculation of CaZrBe after structural relaxation, from the Alexandria database.

Offset from the most stable computed form = 0.00 eV per formula unit
Symmetry = Cm
Uncorrected energy = -4.568 eV per atom
Mass density = 3.21 g/cm3
Energy relative to the elements = 0.19 eV per atom

a b c (Å): 3.755 3.754 11.882
angles (deg): 89.96 89.97 119.99
Fractional positions:
1 Be 0.181 0.008 0.783
2 Be 0.514 0.675 0.780
3 Zr 0.847 0.341 0.903
4 Zr 0.180 0.006 0.086
5 Ca 0.848 0.341 0.608
6 Ca 0.513 0.671 0.323



The following is a PBE-GGA calculation of Ca2ZrBe after structural relaxation, from the Alexandria database.

Symmetry = Cmmm
Uncorrected energy = -3.450 eV per atom
Mass density = 2.91 g/cm3
Energy relative to the elements = 0.62 eV per atom

a b c (Å): 5.741 5.741 3.366
angles (deg): 90.00 90.00 112.00
Fractional positions:
1 Zr 0.500 0.000 0.500
2 Ca 0.500 0.500 0.000
3 Ca 0.000 0.000 0.000
4 Be 0.000 0.500 0.500



The following is a PBE-GGA calculation of Ca2ZrBe after structural relaxation, from the Alexandria database.

Symmetry = P4/mmm
Uncorrected energy = -3.494 eV per atom
Mass density = 3.04 g/cm3
Energy relative to the elements = 0.58 eV per atom

a b c (Å): 4.452 4.452 4.964
angles (deg): 90.00 90.00 90.00
Fractional positions:
1 Ca 0.500 0.500 0.000
2 Ca 0.000 0.000 0.000
3 Zr 0.500 0.000 0.500
4 Be 0.000 0.500 0.500



The following is a PBE-GGA calculation of Ca2ZrBe after structural relaxation, from the Alexandria database.

Symmetry = P2/m
Uncorrected energy = -3.501 eV per atom
Mass density = 2.97 g/cm3
Energy relative to the elements = 0.57 eV per atom

a b c (Å): 4.649 3.401 7.261
angles (deg): 61.61 90.00 90.00
Fractional positions:
1 Ca 0.000 0.479 0.514
2 Ca 0.000 0.021 0.986
3 Zr 0.500 0.250 0.250
4 Be 0.500 0.750 0.750



The following is a PBE-GGA calculation of Ca2ZrBe after structural relaxation, from the Alexandria database.

Symmetry = I4/mmm
Uncorrected energy = -3.465 eV per atom
Mass density = 3.07 g/cm3
Energy relative to the elements = 0.60 eV per atom

a b c (Å): 5.897 5.897 5.897
angles (deg): 136.05 136.05 63.90
Fractional positions:
1 Ca 0.000 0.000 0.000
2 Ca 0.500 0.500 0.000
3 Zr 0.250 0.750 0.500
4 Be 0.750 0.250 0.500



The following is a PBE-GGA calculation of CaZrBe4 after structural relaxation, from the Alexandria database.

Symmetry = F-43m
Uncorrected energy = -4.072 eV per atom
Mass density = 3.30 g/cm3
Energy relative to the elements = 0.17 eV per atom

a b c (Å): 4.917 4.917 4.917
angles (deg): 60.00 60.00 60.00
Fractional positions:
1 Ca 0.750 0.750 0.750
2 Zr 0.000 0.000 0.000
3 Be 0.901 0.366 0.366
4 Be 0.366 0.366 0.901
5 Be 0.366 0.366 0.366
6 Be 0.366 0.901 0.366



The following is a PBE-GGA calculation of Ca2ZrBe after structural relaxation, from the Alexandria database.

Symmetry = F-43m
Uncorrected energy = -3.462 eV per atom
Mass density = 3.05 g/cm3
Energy relative to the elements = 0.61 eV per atom

a b c (Å): 5.181 5.181 5.181
angles (deg): 60.00 60.00 60.00
Fractional positions:
1 Ca 0.000 0.000 0.000
2 Ca 0.250 0.250 0.250
3 Zr 0.750 0.750 0.750
4 Be 0.500 0.500 0.500



The following is a PBE-GGA calculation of Ca2ZrBe after structural relaxation, from the Alexandria database.

Symmetry = R3m
Uncorrected energy = -3.673 eV per atom
Mass density = 2.73 g/cm3
Energy relative to the elements = 0.40 eV per atom

a b c (Å): 10.078 10.078 10.078
angles (deg): 20.50 20.50 20.50
Fractional positions:
1 Zr 0.477 0.477 0.477
2 Ca 0.023 0.023 0.023
3 Ca 0.243 0.243 0.243
4 Be 0.757 0.757 0.757



The following is a PBE-GGA calculation of Ca3ZrBe after structural relaxation, from the Alexandria database.

Offset from the most stable computed form = 3.25 eV per formula unit
Symmetry = Pm-3m
Uncorrected energy = -2.302 eV per atom
Mass density = 2.04 g/cm3
Energy relative to the elements = 1.35 eV per atom

a b c (Å): 5.643 5.643 5.643
angles (deg): 90.00 90.00 90.00
Fractional positions:
1 Ca 0.000 0.500 0.000
2 Ca 0.000 0.000 0.500
3 Ca 0.500 0.000 0.000
4 Be 0.500 0.500 0.500
5 Zr 0.000 0.000 0.000



The following is a PBE-GGA calculation of Ca3ZrBe after structural relaxation, from the Alexandria database.

Offset from the most stable computed form = 0.00 eV per formula unit
Symmetry = Pm-3m
Uncorrected energy = -2.953 eV per atom
Mass density = 2.22 g/cm3
Energy relative to the elements = 0.70 eV per atom

a b c (Å): 5.482 5.482 5.482
angles (deg): 90.00 90.00 90.00
Fractional positions:
1 Be 0.000 0.000 0.000
2 Ca 0.000 0.000 0.500
3 Ca 0.000 0.500 0.000
4 Ca 0.500 0.000 0.000
5 Zr 0.500 0.500 0.500



The following is a PBE-GGA calculation of BeCd after structural relaxation, from the Alexandria database.

Offset from the most stable computed form = 0.29 eV per formula unit
Symmetry = P6_3/mmc
Uncorrected energy = -1.903 eV per atom
Mass density = 6.32 g/cm3
Energy relative to the elements = 0.42 eV per atom

a b c (Å): 4.016 4.016 9.132
angles (deg): 90.00 90.00 120.00
Fractional positions:
1 Cd 0.667 0.333 0.905
2 Cd 0.667 0.333 0.595
3 Cd 0.333 0.667 0.405
4 Cd 0.333 0.667 0.095
5 Be 0.667 0.333 0.250
6 Be 0.000 0.000 0.250
7 Be 0.000 0.000 0.750
8 Be 0.333 0.667 0.750



The following is a PBE-GGA calculation of BeCd after structural relaxation, from the Alexandria database.

Offset from the most stable computed form = 0.48 eV per formula unit
Symmetry = P4/mmm
Uncorrected energy = -1.810 eV per atom
Mass density = 6.67 g/cm3
Energy relative to the elements = 0.51 eV per atom

a b c (Å): 2.907 2.907 3.575
angles (deg): 90.00 90.00 90.00
Fractional positions:
1 Be 0.000 0.000 0.000
2 Cd 0.500 0.500 0.500



The following is a PBE-GGA calculation of Be2Cd3 after structural relaxation, from the Alexandria database.

Offset from the most stable computed form = 0.00 eV per formula unit
Symmetry = P-3m1
Uncorrected energy = -1.755 eV per atom
Mass density = 6.99 g/cm3
Energy relative to the elements = 0.28 eV per atom

a b c (Å): 4.323 4.323 5.218
angles (deg): 90.00 90.00 120.00
Fractional positions:
1 Cd 0.000 0.000 0.000
2 Cd 0.333 0.667 0.363
3 Cd 0.667 0.333 0.637
4 Be 0.333 0.667 0.875
5 Be 0.667 0.333 0.125



The following is a PBE-GGA calculation of Be3Cd after structural relaxation, from the Alexandria database.

Offset from the most stable computed form = 0.48 eV per formula unit
Symmetry = P6_3/mmc
Uncorrected energy = -2.622 eV per atom
Mass density = 5.01 g/cm3
Energy relative to the elements = 0.40 eV per atom

a b c (Å): 5.218 5.218 7.835
angles (deg): 90.00 90.00 120.00
Fractional positions:
1 Cd 0.333 0.667 0.250
2 Cd 0.000 0.000 0.500
3 Cd 0.667 0.333 0.750
4 Cd 0.000 0.000 0.000
5 Be 0.500 0.500 0.500
6 Be 0.500 0.000 0.000
7 Be 0.384 0.192 0.250
8 Be 0.616 0.808 0.750
9 Be 0.808 0.192 0.250
10 Be 0.808 0.616 0.250
11 Be 0.500 0.000 0.500
12 Be 0.000 0.500 0.000
13 Be 0.000 0.500 0.500
14 Be 0.192 0.808 0.750
15 Be 0.192 0.384 0.750
16 Be 0.500 0.500 0.000